The following is a PBE calculation of crystalline Ce5InOs4 at its relaxed geometry, from Alexandria via LeMat-Bulk.

CIF file:
```
data_Ce5InOs4
_chemical_formula_sum 'Ce10 In2 Os8'
_cell_length_a 7.2204
_cell_length_b 7.9537
_cell_length_c 8.3227
_cell_angle_alpha 90.00
_cell_angle_beta 90.00
_cell_angle_gamma 90.00
_space_group_name_H-M_alt 'P 1'
_space_group_IT_number 1
loop_
_space_group_symop_operation_xyz
'x,y,z'
loop_
_atom_site_label
_atom_site_type_symbol
_atom_site_fract_x
_atom_site_fract_y
_atom_site_fract_z
_atom_site_occupancy
Ce1 Ce 0.5792 0.5000 0.0000 1
Os1 Os 0.9705 0.5000 0.1602 1
Os2 Os 0.5350 0.1654 0.0000 1
Ce2 Ce 0.2432 0.2519 0.7832 1
Os3 Os 0.0295 0.0000 0.3398 1
Ce3 Ce 0.7568 0.2481 0.2832 1
Ce4 Ce 0.2432 0.7481 0.2168 1
Os4 Os 0.9705 0.5000 0.8398 1
Ce5 Ce 0.4208 0.0000 0.5000 1
Os5 Os 0.4650 0.3346 0.5000 1
Ce6 Ce 0.7568 0.7519 0.7168 1
Ce7 Ce 0.7568 0.2481 0.7168 1
Os6 Os 0.4650 0.6654 0.5000 1
Ce8 Ce 0.2432 0.7481 0.7832 1
Os7 Os 0.5350 0.8346 0.0000 1
In1 In 0.9296 0.0000 0.0000 1
In2 In 0.0704 0.5000 0.5000 1
Ce9 Ce 0.7568 0.7519 0.2832 1
Ce10 Ce 0.2432 0.2519 0.2168 1
Os8 Os 0.0295 0.0000 0.6602 1
```

Calculated values
Formation energy in eV/atom: -0.06
Mass density in g/cm³: 10.953
SG: Pmmn (59)
Uncorrected energy in eV/atom: -7.79
Density of states at the Fermi level in states/eV per atom: 1.667